The following is a meta-GGA SCAN calculation of ZrTi3Pb at its PBEsol-relaxed geometry, from Alexandria via LeMat-Bulk.

Properties
The value obtained for the volume is 124.95 Å³ per cell. The value obtained for the formation energy is 1073 meV/atom. Its density is 5.87 Mg/m³.

Cell: 4.9994 4.9994 4.9994 Å, 90.00 90.00 90.00°
Last column: nearest neighbours and their distance in Å.
Element x y z (fractional)
Pb1 0.0000 0.0000 0.0000  6 Ti 2.50
Zr1 0.5000 0.5000 0.5000  12 Ti 3.54
Ti1 0.0000 0.5000 0.0000  2 Pb 2.50
Ti2 0.0000 0.0000 0.5000  2 Pb 2.50
Ti3 0.5000 0.0000 0.0000  2 Pb 2.50